(1)
The following is a PBE calculation of crystalline Er2Ga2Rh5Pb at its relaxed geometry, from Alexandria.

CIF file:
```
data_Er2Ga2Rh5Pb
_space_group_name_H-M_alt 'P 4/m b m'
_space_group_IT_number 127
_space_group_name_Hall '-P 4 2ab'
_cell_length_a 9.801
_cell_length_b 9.801
_cell_length_c 3.645
_cell_angle_alpha 90.00
_cell_angle_beta 90.00
_cell_angle_gamma 90.00
loop_
_atom_site_label
_atom_site_fract_x
_atom_site_fract_y
_atom_site_fract_z
_atom_site_occupancy
Er1 0.174 0.326 0.000 1
Ga1 0.122 0.622 0.000 1
Rh1 0.000 0.500 0.500 1
Rh2 0.071 0.790 0.500 1
Pb1 0.000 0.000 0.000 1
```

Calculated values
VASP energy, eV per formula unit: -63.2
Fermi-level density of states, states/eV/atom: 0.27

=====

(2)
The following is a PBE calculation of crystalline ErGaPbS4 at its relaxed geometry, from Alexandria.

CIF file:
```
data_ErGaPbS4
_space_group_name_H-M_alt 'P 1 21/m 1'
_space_group_IT_number 11
_space_group_name_Hall '-P 2yb'
_cell_length_a 6.523
_cell_length_b 6.699
_cell_length_c 7.972
_cell_angle_alpha 90.00
_cell_angle_beta 106.68
_cell_angle_gamma 90.00
loop_
_atom_site_label
_atom_site_fract_x
_atom_site_fract_y
_atom_site_fract_z
_atom_site_occupancy
Er1 0.221 0.250 0.056 1
Ga1 0.239 0.750 0.819 1
Pb1 0.252 0.250 0.568 1
S1 0.000 0.007 0.775 1
S2 0.448 0.750 0.638 1
S3 0.458 0.750 0.097 1
```

Calculated values
VASP energy, eV per formula unit: -35.2
Fermi-level density of states, states/eV/atom: 0.00
Uncorrected formation energy, eV per atom: -1.053

=====

(3)
The following is a PBE calculation of crystalline Er6Ga2PbS3 at its relaxed geometry, from Alexandria.

CIF file:
```
data_Er6Ga2PbS3
_space_group_name_H-M_alt 'C 1 2/m 1'
_space_group_IT_number 12
_space_group_name_Hall '-C 2y'
_cell_length_a 18.502
_cell_length_b 3.868
_cell_length_c 8.437
_cell_angle_alpha 90.00
_cell_angle_beta 112.30
_cell_angle_gamma 90.00
loop_
_atom_site_label
_atom_site_fract_x
_atom_site_fract_y
_atom_site_fract_z
_atom_site_occupancy
Er1 0.003 0.000 0.278 1
Er2 0.153 0.500 0.629 1
Er3 0.179 0.500 0.111 1
Ga1 0.193 0.000 0.404 1
Pb1 0.000 0.500 0.000 1
S1 0.000 0.500 0.500 1
S2 0.163 0.000 0.862 1
```

Calculated values
VASP energy, eV per formula unit: -64.3
Fermi-level density of states, states/eV/atom: 0.31
Uncorrected formation energy, eV per atom: -1.228

=====

(4)
The following is a PBE calculation of crystalline ErScGaPb at its relaxed geometry, from Alexandria.

CIF file:
```
data_ErScGaPb
_space_group_name_H-M_alt 'F -4 3 m'
_space_group_IT_number 216
_space_group_name_Hall 'F -4 2 3'
_cell_length_a 7.245
_cell_length_b 7.245
_cell_length_c 7.245
_cell_angle_alpha 90.00
_cell_angle_beta 90.00
_cell_angle_gamma 90.00
loop_
_atom_site_label
_atom_site_fract_x
_atom_site_fract_y
_atom_site_fract_z
_atom_site_occupancy
Er1 0.000 0.000 0.000 1
Sc1 0.000 0.000 0.500 1
Ga1 0.250 0.250 0.250 1
Pb1 0.250 0.250 0.750 1
```

Calculated values
VASP energy, eV per formula unit: -19.1
Fermi-level density of states, states/eV/atom: 0.91

=====

(5)
The following is a PBE calculation of crystalline TbErGaPb at its relaxed geometry, from Alexandria.

CIF file:
```
data_TbErGaPb
_space_group_name_H-M_alt 'F -4 3 m'
_space_group_IT_number 216
_space_group_name_Hall 'F -4 2 3'
_cell_length_a 7.441
_cell_length_b 7.441
_cell_length_c 7.441
_cell_angle_alpha 90.00
_cell_angle_beta 90.00
_cell_angle_gamma 90.00
loop_
_atom_site_label
_atom_site_fract_x
_atom_site_fract_y
_atom_site_fract_z
_atom_site_occupancy
Tb1 0.000 0.000 0.000 1
Er1 0.000 0.000 0.500 1
Ga1 0.250 0.250 0.250 1
Pb1 0.250 0.250 0.750 1
```

Calculated values
VASP energy, eV per formula unit: -17.6
Fermi-level density of states, states/eV/atom: 0.70

=====

(6)
The following is a PBE calculation of crystalline ErThGaPb at its relaxed geometry, from Alexandria.

CIF file:
```
data_ErThGaPb
_space_group_name_H-M_alt 'F -4 3 m'
_space_group_IT_number 216
_space_group_name_Hall 'F -4 2 3'
_cell_length_a 7.549
_cell_length_b 7.549
_cell_length_c 7.549
_cell_angle_alpha 90.00
_cell_angle_beta 90.00
_cell_angle_gamma 90.00
loop_
_atom_site_label
_atom_site_fract_x
_atom_site_fract_y
_atom_site_fract_z
_atom_site_occupancy
Er1 0.000 0.000 0.000 1
Th1 0.000 0.000 0.500 1
Ga1 0.250 0.250 0.750 1
Pb1 0.250 0.250 0.250 1
```

Calculated values
VASP energy, eV per formula unit: -19.9
Fermi-level density of states, states/eV/atom: 1.00

=====

(7)
The following is a PBE calculation of crystalline ErTmGaPb at its relaxed geometry, from Alexandria.

CIF file:
```
data_ErTmGaPb
_space_group_name_H-M_alt 'F -4 3 m'
_space_group_IT_number 216
_space_group_name_Hall 'F -4 2 3'
_cell_length_a 7.389
_cell_length_b 7.389
_cell_length_c 7.389
_cell_angle_alpha 90.00
_cell_angle_beta 90.00
_cell_angle_gamma 90.00
loop_
_atom_site_label
_atom_site_fract_x
_atom_site_fract_y
_atom_site_fract_z
_atom_site_occupancy
Er1 0.000 0.000 0.000 1
Tm1 0.000 0.000 0.500 1
Ga1 0.250 0.250 0.750 1
Pb1 0.250 0.250 0.250 1
```

Calculated values
VASP energy, eV per formula unit: -17.3
Fermi-level density of states, states/eV/atom: 0.83

=====

(8)
The following is a PBE calculation of crystalline Er2Ga5Pd3 at its relaxed geometry, from Alexandria.

CIF file:
```
data_Er2Ga5Pd3
_space_group_name_H-M_alt 'C m c 21'
_space_group_IT_number 36
_space_group_name_Hall 'C 2c -2'
_cell_length_a 4.368
_cell_length_b 24.761
_cell_length_c 6.703
_cell_angle_alpha 90.00
_cell_angle_beta 90.00
_cell_angle_gamma 90.00
loop_
_atom_site_label
_atom_site_fract_x
_atom_site_fract_y
_atom_site_fract_z
_atom_site_occupancy
Er1 0.000 0.016 0.000 1
Er2 0.000 0.326 0.977 1
Ga1 0.000 0.104 0.667 1
Ga2 0.000 0.206 0.173 1
Ga3 0.000 0.208 0.767 1
Ga4 0.000 0.378 0.510 1
Ga5 0.000 0.450 0.816 1
Pd1 0.000 0.106 0.271 1
Pd2 0.000 0.275 0.468 1
Pd3 0.000 0.448 0.214 1
```

Calculated values
VASP energy, eV per formula unit: -47.3
Fermi-level density of states, states/eV/atom: 0.48

=====

(9)
The following is a PBE calculation of crystalline ErGa3Pd3 at its relaxed geometry, from Alexandria.

CIF file:
```
data_ErGa3Pd3
_space_group_name_H-M_alt 'R -3'
_space_group_IT_number 148
_space_group_name_Hall '-R 3'
_cell_length_a 6.8792
_cell_length_b 6.8792
_cell_length_c 18.1455
_cell_angle_alpha 90.00
_cell_angle_beta 90.00
_cell_angle_gamma 120.00
loop_
_atom_site_label
_atom_site_fract_x
_atom_site_fract_y
_atom_site_fract_z
_atom_site_occupancy
Er1 0.0000 0.0000 0.1612 1
Ga1 0.0229 0.6097 0.3769 1
Pd1 0.0078 0.7605 0.5680 1
```

Calculated values
VASP energy, eV per formula unit: -33.8
Fermi-level density of states, states/eV/atom: 0.29
E above lowest polymorph, kJ/mol of atoms: 0.0

=====

(10)
The following is a PBE calculation of crystalline Er2Ga5Pd4 at its relaxed geometry, from Alexandria.

CIF file:
```
data_Er2Ga5Pd4
_space_group_name_H-M_alt 'F m m m'
_space_group_IT_number 69
_space_group_name_Hall '-F 2 2'
_cell_length_a 5.348
_cell_length_b 9.054
_cell_length_c 16.669
_cell_angle_alpha 90.00
_cell_angle_beta 90.00
_cell_angle_gamma 90.00
loop_
_atom_site_label
_atom_site_fract_x
_atom_site_fract_y
_atom_site_fract_z
_atom_site_occupancy
Er1 0.000 0.000 0.122 1
Ga1 0.000 0.000 0.500 1
Ga2 0.250 0.250 0.000 1
Ga3 0.250 0.250 0.250 1
Pd1 0.000 0.162 0.370 1
```

Calculated values
VASP energy, eV per formula unit: -53.0
Fermi-level density of states, states/eV/atom: 0.33

=====

(11)
The following is a PBE calculation of crystalline ErGaPd5 at its relaxed geometry, from Alexandria.

CIF file:
```
data_ErGaPd5
_space_group_name_H-M_alt 'C 1 2/c 1'
_space_group_IT_number 15
_space_group_name_Hall '-C 2yc'
_cell_length_a 10.679
_cell_length_b 7.482
_cell_length_c 7.180
_cell_angle_alpha 90.00
_cell_angle_beta 116.43
_cell_angle_gamma 90.00
loop_
_atom_site_label
_atom_site_fract_x
_atom_site_fract_y
_atom_site_fract_z
_atom_site_occupancy
Er1 0.000 0.022 0.250 1
Ga1 0.250 0.250 0.500 1
Pd1 0.000 0.387 0.250 1
Pd2 0.083 0.290 0.649 1
Pd3 0.206 0.409 0.068 1
```

Calculated values
VASP energy, eV per formula unit: -36.4
Fermi-level density of states, states/eV/atom: 0.42

=====

Q: Look up the Fermi-level density of states of the third one.
A: 0.31 states/eV/atom

=====

Q: Which formula does entry 6 have?
A: ErThGaPb

=====

Q: Which of these has the lowest Fermi-level density of states?
A: ErGaPbS4